1.
Here is ZrRe2P after structural relaxation from the Alexandria database. Energies are from PBE.

abc: 5.478 5.478 5.478
angles: 140.75 140.75 56.71
Fractional positions:
Zr  0.500  0.500  0.000
Re  0.750  0.250  0.500
Re  0.250  0.750  0.500
P  0.000  0.000  0.000

Raw total energy = -0.717 Ry per atom
Space group = I4/mmm (139)
Energy relative to the elements = -43 meV/atom
Magnetic moment = 0.000 μB per atom


2.
Here is GaGeH after structural relaxation from the Alexandria database. Energies are from PBE.

abc: 3.808 3.808 4.508
angles: 114.98 114.98 90.00
Fractional positions:
H  0.942  0.942  0.883
Ge  0.713  0.713  0.426
Ga  0.195  0.195  0.391

Raw total energy = -0.253 Ry per atom
Space group = I4mm (107)
Excess energy over the best structure of this formula in the dataset = 100 meV/atom
Magnetic moment = 0.000 μB per atom


3.
Here is ZnOsPt2 after structural relaxation from the Alexandria database. Energies are from PBE.

abc: 4.777 4.777 4.777
angles: 131.83 131.82 70.50
Fractional positions:
Os  0.750  0.250  0.500
Pt  0.000  0.000  0.000
Pt  0.500  0.500  0.000
Zn  0.250  0.750  0.500

Raw total energy = -0.450 Ry per atom
Space group = I4/mmm (139)
Energy relative to the elements = 29 meV/atom
Magnetic moment = 0.000 μB per atom


4.
Here is Fe8ReMo3 after structural relaxation from the Alexandria database. Energies are from PBE.

abc: 4.660 4.660 7.756
angles: 90.00 90.00 120.00
Each line ends with the local moment (μB).
Fractional positions:
Fe  0.333  0.667  0.500  -1.28
Fe  0.333  0.667  0.001  0.17
Fe  0.503  0.007  0.750  1.24
Fe  0.503  0.497  0.750  1.24
Fe  0.993  0.497  0.750  1.24
Fe  0.163  0.326  0.249  1.23
Fe  0.163  0.837  0.249  1.23
Fe  0.674  0.837  0.249  1.23
Re  0.000  0.000  0.566  0.00
Mo  0.667  0.333  0.437  -0.04
Mo  0.667  0.333  0.071  -0.18
Mo  0.000  0.000  0.927  -0.23

Raw total energy = -0.691 Ry per atom
Space group = P3m1 (156)
Excess energy over the best structure of this formula in the dataset = 0 meV/atom
Energy relative to the elements = -14 meV/atom
Magnetic moment = 0.488 μB per atom


5.
Here is VIn2Cu after structural relaxation from the Alexandria database. Energies are from PBE.

abc: 3.836 4.253 4.253
angles: 90.00 90.00 90.00
Each line ends with the local moment (μB).
Fractional positions:
V  0.500  0.000  0.000  0.20
Cu  0.500  0.500  0.500  -0.01
In  0.000  0.000  0.500  -0.01
In  0.000  0.500  0.000  -0.01

Raw total energy = -0.330 Ry per atom
Space group = P4/mmm (123)
Energy relative to the elements = 182 meV/atom
Magnetic moment = 0.044 μB per atom


6.
Here is Ba3Sn7Pd2 after structural relaxation from the Alexandria database. Energies are from PBE.

abc: 4.939 4.827 14.978
angles: 99.34 90.00 90.00
Fractional positions:
Ba  0.500  0.500  0.000
Ba  0.000  0.182  0.364
Ba  0.000  0.818  0.636
Sn  0.500  0.720  0.442
Sn  0.500  0.280  0.558
Sn  0.000  0.585  0.172
Sn  0.000  0.000  0.000
Sn  0.000  0.415  0.828
Sn  0.500  0.914  0.828
Sn  0.500  0.086  0.172
Pd  0.500  0.630  0.258
Pd  0.500  0.370  0.742

Raw total energy = -0.314 Ry per atom
Space group = P2/m (10)
Energy relative to the elements = -589 meV/atom
Magnetic moment = 0.000 μB per atom


7.
Here is Nd2MgCd2 after structural relaxation from the Alexandria database. Energies are from PBE.

abc: 5.307 6.382 9.833
angles: 64.76 74.34 65.43
Fractional positions:
Nd  0.419  0.803  0.860
Nd  0.918  0.303  0.360
Nd  0.581  0.197  0.140
Nd  0.082  0.697  0.640
Mg  0.250  0.750  0.250
Mg  0.750  0.250  0.750
Cd  0.364  0.226  0.544
Cd  0.134  0.274  0.956
Cd  0.636  0.774  0.456
Cd  0.866  0.726  0.044

Raw total energy = -0.207 Ry per atom
Space group = C2/m (12)
Excess energy over the best structure of this formula in the dataset = 0 meV/atom
Energy relative to the elements = -225 meV/atom
Magnetic moment = 0.000 μB per atom


8.
Here is LaS2NCl after structural relaxation from the Alexandria database. Energies are from PBE.

abc: 4.722 4.722 4.165
angles: 90.00 90.00 90.00
Fractional positions:
N  0.000  0.000  0.500
S  0.000  0.500  0.000
S  0.500  0.000  0.000
Cl  0.000  0.000  0.000
La  0.500  0.500  0.500

Raw total energy = -0.323 Ry per atom
Formation energy without anion corrections = 282 meV per atom
Space group = P4/mmm (123)
Excess energy over the best structure of this formula in the dataset = 611 meV/atom
Magnetic moment = 0.000 μB per atom


9.
Here is PmAl6Au12 after structural relaxation from the Alexandria database. Energies are from PBE.

abc: 7.083 7.912 7.912
angles: 68.50 72.64 107.36
Fractional positions:
Pm  0.000  0.000  0.000
Al  0.454  0.494  0.229
Al  0.040  0.723  0.506
Al  0.317  0.771  0.723
Al  0.546  0.506  0.771
Al  0.960  0.277  0.494
Al  0.683  0.229  0.277
Au  0.483  0.867  0.325
Au  0.616  0.808  0.867
Au  0.808  0.325  0.808
Au  0.517  0.133  0.675
Au  0.384  0.192  0.133
Au  0.192  0.675  0.192
Au  0.266  0.429  0.611
Au  0.123  0.389  0.040
Au  0.163  0.040  0.571
Au  0.734  0.571  0.389
Au  0.877  0.611  0.960
Au  0.837  0.960  0.429

Raw total energy = -0.282 Ry per atom
Space group = R-3 (148)
Excess energy over the best structure of this formula in the dataset = 23 meV/atom
Energy relative to the elements = -338 meV/atom
Magnetic moment = 0.000 μB per atom


10.
Here is ZrNbGa2Bi after structural relaxation from the Alexandria database. Energies are from PBE.

abc: 4.936 5.410 4.936
angles: 90.00 90.00 90.00
Each line ends with the local moment (μB).
Fractional positions:
Nb  0.000  0.000  0.000  -0.02
Ga  0.000  0.000  0.500  0.00
Ga  0.500  0.000  0.000  0.00
Bi  0.000  0.500  0.000  -0.01
Zr  0.500  0.500  0.500  0.83

Raw total energy = -0.372 Ry per atom
Space group = P4/mmm (123)
Energy relative to the elements = 646 meV/atom
Magnetic moment = 0.247 μB per atom


11.
Here is HfZr2Ta2 after structural relaxation from the Alexandria database. Energies are from PBE.

abc: 7.629 7.629 3.737
angles: 90.00 90.00 90.00
Fractional positions:
Hf  0.000  0.000  0.000
Hf  0.500  0.500  0.000
Zr  0.170  0.670  0.500
Zr  0.670  0.830  0.500
Zr  0.830  0.330  0.500
Zr  0.330  0.170  0.500
Ta  0.372  0.872  0.000
Ta  0.872  0.628  0.000
Ta  0.628  0.128  0.000
Ta  0.128  0.372  0.000

Raw total energy = -0.727 Ry per atom
Space group = P4/mbm (127)
Energy relative to the elements = 262 meV/atom
Magnetic moment = 0.000 μB per atom


12.
Here is Ce6Al2Tl after structural relaxation from the Alexandria database. Energies are from PBE.

abc: 3.102 9.269 9.269
angles: 58.17 80.37 80.37
Each line ends with the local moment (μB).
Fractional positions:
Ce  0.164  0.523  0.149  0.64
Ce  0.836  0.477  0.851  0.64
Ce  0.836  0.851  0.477  0.64
Ce  0.000  0.162  0.838  0.42
Ce  0.000  0.838  0.162  0.42
Ce  0.164  0.149  0.523  0.64
Al  0.343  0.157  0.157  -0.01
Al  0.657  0.843  0.843  -0.01
Tl  0.500  0.500  0.500  -0.01

Raw total energy = -0.378 Ry per atom
Space group = Immm (71)
Excess energy over the best structure of this formula in the dataset = 83 meV/atom
Energy relative to the elements = -95 meV/atom
Magnetic moment = 0.458 μB per atom